1.
# LaEr4In2

A relaxed LaEr4In2 crystal (PBE-GGA, the Alexandria database).

Cell lengths 10.779, 6.747, 6.499 Å; angles 114.55, 90.00, 90.00 degrees
Sites, in units of the cell vectors:
Er 0.830 0.500 0.001
Er 0.724 0.500 0.502
Er 0.776 0.000 0.502
Er 0.670 0.000 0.001
Er 0.330 0.000 0.999
Er 0.224 0.000 0.498
Er 0.276 0.500 0.498
Er 0.170 0.500 0.999
In 0.000 0.683 0.434
In 0.000 0.317 0.566
In 0.500 0.817 0.566
In 0.500 0.183 0.434
La 0.000 0.000 0.000
La 0.500 0.500 0.000

Output
Fermi-level density of states	8.25	states/eV/f.u.
energy	-29.74	eV per formula unit
formation energy from the elements	-1.1	eV per formula unit
distance to the lowest polymorph of the same formula	0.0474	eV/atom

=====

2.
# ScRe2Ni

A relaxed ScRe2Ni crystal (PBE-GGA, the Alexandria database).

Cell lengths 2.628, 4.086, 5.734 Å; angles 90.00, 90.00, 90.00 degrees
Sites, in units of the cell vectors:
Ni 0.500 0.500 0.750
Re 0.000 0.000 0.971
Re 0.000 0.000 0.529
Sc 0.500 0.500 0.250

Output
Fermi-level density of states	4.53	states/eV/f.u.
energy	-36.12	eV per formula unit
formation energy from the elements	0.9	eV per formula unit
distance to the lowest polymorph of the same formula	0.3007	eV/atom

=====

3.
# La3Lu

A relaxed La3Lu crystal (PBE-GGA, the Alexandria database).

Cell lengths 5.165, 5.165, 6.364 Å; angles 113.94, 113.94, 90.00 degrees
Sites, in units of the cell vectors:
Lu 0.000 0.000 0.000
La 0.250 0.750 0.500
La 0.750 0.250 0.500
La 0.500 0.500 0.000

Output
Fermi-level density of states	6.06	states/eV/f.u.
energy	-19.23	eV per formula unit
formation energy from the elements	0.1	eV per formula unit

=====

4.
# RbBaHBr2

A relaxed RbBaHBr2 crystal (PBE-GGA, the Alexandria database).

Cell lengths 6.399, 6.399, 5.026 Å; angles 90.00, 90.00, 90.00 degrees
Sites, in units of the cell vectors:
H 0.000 0.000 0.500
Br 0.000 0.500 0.000
Br 0.500 0.000 0.000
Ba 0.000 0.000 0.000
Rb 0.500 0.500 0.500

Output
Fermi-level density of states	0.00	states/eV/f.u.
energy	-16.49	eV per formula unit

=====

5.
# Be2ZnCu

A relaxed Be2ZnCu crystal (PBE-GGA, the Alexandria database).

Cell lengths 4.585, 4.585, 4.585 Å; angles 145.10, 129.98, 62.44 degrees
Sites, in units of the cell vectors:
Be 0.988 0.988 0.000
Be 0.755 0.255 0.500
Zn 0.244 0.744 0.500
Cu 0.513 0.513 0.000

Output
Fermi-level density of states	0.72	states/eV/f.u.
energy	-12.73	eV per formula unit
formation energy from the elements	0.1	eV per formula unit

=====

6.
# SmHo8Er6

A relaxed SmHo8Er6 crystal (PBE-GGA, the Alexandria database).

Cell lengths 8.960, 8.960, 8.548 Å; angles 58.39, 58.39, 60.00 degrees
Sites, in units of the cell vectors:
Sm 0.000 0.000 0.000
Ho 0.257 0.279 0.574
Ho 0.721 0.110 0.426
Ho 0.110 0.743 0.426
Ho 0.576 0.576 0.271
Ho 0.424 0.424 0.729
Ho 0.890 0.257 0.574
Ho 0.279 0.890 0.574
Ho 0.743 0.721 0.426
Er 0.461 0.890 0.879
Er 0.110 0.230 0.121
Er 0.230 0.539 0.121
Er 0.770 0.461 0.879
Er 0.890 0.770 0.879
Er 0.539 0.110 0.121

Output
Fermi-level density of states	22.53	states/eV/f.u.
energy	-66.70	eV per formula unit
formation energy from the elements	2.0	eV per formula unit
distance to the lowest polymorph of the same formula	0.0000	eV/atom